VASP calculation (PBE-GGA) on a geometry-optimized Tb3Nd6Ho2Tm structure.

```
Tb3Nd6Ho2Tm
1.0
-1.666 -4.411 4.130
3.258 -1.569 -5.120
9.437 3.677 6.154
Nd Tb Ho Tm
6 3 2 1
Direct
0.250 0.250 0.751
0.083 0.416 0.249
0.416 0.083 0.249
0.917 0.584 0.751
0.750 0.750 0.249
0.584 0.917 0.751
0.167 0.833 0.500
0.833 0.167 0.500
0.500 0.500 0.500
0.667 0.333 0.000
0.333 0.667 0.000
0.000 0.000 0.000
```

Output
density of states at the Fermi level = 1.13 states/eV per atom
formation enthalpy at 0 K = 0.01 eV per atom
V = 33.08 A^3/atom
space-group type = C2/m